# 1
First-principles (PBE) data for crystalline Nd3Dy3In2 at its relaxed geometry, as listed in the Alexandria database.

Values from the calculation:
The crystal system is orthorhombic. The value obtained for the formation energy is -0.160 eV per atom. The value obtained for the distance to the lowest polymorph of the same formula is 0.106 eV/atom.

a = 5.201 Å, b = 11.973 Å, c = 16.287 Å
α = 90.00°, β = 90.00°, γ = 90.00°
Space group Cmcm (No. 63)
One atom of each set of equivalent atoms:
Nd: 0.000 0.040 0.105 (multiplicity 8)
Nd: 0.000 0.266 0.250 (multiplicity 4)
Dy: 0.000 0.360 0.036 (multiplicity 8)
Dy: 0.000 0.455 0.750 (multiplicity 4)
In: 0.000 0.236 0.634 (multiplicity 8)


# 2
First-principles (PBE) data for crystalline TbPd6Au3 at its relaxed geometry, as listed in the Alexandria database.

Values from the calculation:
The crystal system is monoclinic. The value obtained for the formation energy is -0.332 eV per atom. The value obtained for the distance to the lowest polymorph of the same formula is 0.000 eV/atom.

a = 8.695 Å, b = 4.286 Å, c = 9.295 Å
α = 90.00°, β = 95.21°, γ = 90.00°
Space group P2_1/m (No. 11)
One atom of each set of equivalent atoms:
Tb: 0.067 0.250 0.374 (multiplicity 2)
Pd: 0.051 0.750 0.911 (multiplicity 2)
Pd: 0.148 0.250 0.703 (multiplicity 2)
Pd: 0.161 0.750 0.204 (multiplicity 2)
Pd: 0.250 0.750 0.510 (multiplicity 2)
Pd: 0.366 0.250 0.302 (multiplicity 2)
Pd: 0.455 0.750 0.102 (multiplicity 2)
Au: 0.252 0.250 0.010 (multiplicity 2)
Au: 0.342 0.750 0.809 (multiplicity 2)
Au: 0.448 0.250 0.601 (multiplicity 2)


# 3
First-principles (PBE) data for crystalline ThMg7Cd5 at its relaxed geometry, as listed in the Alexandria database.

Values from the calculation:
The crystal system is orthorhombic. The value obtained for the formation energy is -0.104 eV per atom.

a = 5.871 Å, b = 10.041 Å, c = 10.005 Å
α = 90.00°, β = 90.00°, γ = 90.00°
Space group Imm2 (No. 44)
One atom of each set of equivalent atoms:
Th: 0.000 0.000 0.000 (multiplicity 2)
Mg: 0.000 0.000 0.350 (multiplicity 2)
Mg: 0.000 0.000 0.648 (multiplicity 2)
Mg: 0.000 0.289 0.503 (multiplicity 4)
Mg: 0.000 0.350 0.001 (multiplicity 4)
Mg: 0.000 0.500 0.287 (multiplicity 2)
Cd: 0.000 0.500 0.708 (multiplicity 2)
Cd: 0.250 0.247 0.754 (multiplicity 8)


# 4
First-principles (PBE) data for crystalline Rb2LiRuO4 at its relaxed geometry, as listed in the Alexandria database.

Values from the calculation:
The crystal system is orthorhombic. As for the raw formation energy: -1288 meV/atom.

a = 5.139 Å, b = 12.505 Å, c = 19.733 Å
α = 90.00°, β = 90.00°, γ = 90.00°
Space group Fddd (No. 70, origin choice 2)
One atom of each set of equivalent atoms:
Rb: 0.125 0.125 0.298 (multiplicity 16)
Li: 0.125 0.125 0.125 (multiplicity 8)
Ru: 0.125 0.125 0.625 (multiplicity 8)
O: 0.113 0.283 0.836 (multiplicity 32)


| no. | magnetic moment (μB per formula unit) | DOS at the Fermi energy (states/eV per cell) |
| --- | --- | --- |
| 1 | 0.00 | 35.75 |
| 2 | 0.00 | 8.42 |
| 3 | 0.00 | 7.60 |
| 4 | 1.02 | 4.55 |